# Ca3MgPb2 | Alexandria via LeMat-Bulk | PBE | optimized geometry
data_Ca3MgPb2
_cell_length_a 6.882
_cell_length_b 6.808
_cell_length_c 9.434
_cell_angle_alpha 111.15
_cell_angle_beta 111.39
_cell_angle_gamma 90.00
_space_group_name_H-M_alt 'P 1'
_space_group_IT_number 1
_space_group_name_Hall 'P 1'
loop_
_atom_site_label
_atom_site_type_symbol
_atom_site_fract_x
_atom_site_fract_y
_atom_site_fract_z
Pb1 Pb 0.880 0.625 0.250
Pb2 Pb 0.370 0.125 0.250
Pb3 Pb 0.120 0.375 0.750
Pb4 Pb 0.630 0.875 0.750
Ca1 Ca 0.399 0.676 0.351
Ca2 Ca 0.500 0.250 0.000
Ca3 Ca 0.500 0.750 0.000
Ca4 Ca 0.048 0.824 0.649
Ca5 Ca 0.952 0.176 0.351
Ca6 Ca 0.601 0.324 0.649
Mg1 Mg 0.000 0.750 0.000
Mg2 Mg 0.000 0.250 0.000
# ΔE to the lowest computed polymorph, eV per atom: 0.0000
# Formation enthalpy at 0 K, eV per formula unit: -2.65
# Crystal system: orthorhombic